Density functional theory data (GGA-PBE) for a geometry-optimized LaTb2Er2 structure.

Calculated values
* D(E_F): 15.30 states/eV per cell
* total energy: -41.713 eV for the cell shown
* calculated formation energy: 0.49 eV/atom
* spin magnetization: 0.02 μB per cell
* energy above the most stable polymorph in this dataset: 0.4158 eV/atom
* V: 171.6 Å³/f.u.

a = 5.9540 Å, b = 5.9540 Å, c = 9.6788 Å
α = 90.00°, β = 90.00°, γ = 90.00°
Closest atoms and distances in Å follow each position.
Space group I4/mmm (No. 139)
One atom of each set of equivalent atoms:
La1 0.0000 0.0000 0.0000 (multiplicity 2)  2 Tb 3.43, 8 Er 3.84
Tb1 0.0000 0.0000 0.3541 (multiplicity 4)  1 Tb 2.82, 4 Er 3.14
Er1 0.0000 0.5000 0.2500 (multiplicity 4)  4 Tb 3.14